Entry 1:
## CuGe2As3 (PBE)

Data for a geometry-optimized CuGe2As3 structure.

## Properties
crystal system	monoclinic
formation energy	-43	meV per atom

Cell and atoms, written as POSCAR:
```
CuGe2As3
1.0
3.4714 -6.0343 0.0000
3.4714 6.0343 0.0000
-2.3131 0.0000 6.5685
Cu Ge As
2 4 6
Cartesian
2.3148 5.0244 3.2842 Cu
3.4714 -5.0244 0.0000 Cu
1.1664 3.0370 6.4950 Ge
2.1933 0.9871 3.2049 Ge
1.0367 -0.9871 6.4891 Ge
2.3230 -3.0370 3.2108 Ge
-0.1128 0.9243 2.3595 As
-1.2694 -0.9243 5.6437 As
3.3891 3.0699 2.4535 As
2.3902 0.9912 5.7227 As
3.5468 -0.9912 2.4385 As
2.2325 -3.0699 5.7377 As
```

=====

Entry 2:
## CuGeAs2H (PBE)

Data for a geometry-optimized CuGeAs2H structure.

## Properties
crystal system	tetragonal
calculated total energy	-18.95	eV for the cell shown

Cell and atoms, written as POSCAR:
```
CuGeAs2H
1.0
4.6735 0.0000 0.0000
0.0000 4.6735 0.0000
0.0000 0.0000 3.4160
Cu Ge As H
1 1 2 1
Cartesian
0.0000 0.0000 0.0000 Cu
2.3368 2.3368 0.0000 Ge
0.0000 2.3368 1.7080 As
2.3368 0.0000 1.7080 As
0.0000 0.0000 1.7080 H
```

=====

Entry 3:
## Na2Cu4GeAs3 (PBE)

Data for a geometry-optimized Na2Cu4GeAs3 structure.

## Properties
crystal system	tetragonal
formation energy	-161	meV per atom

Cell and atoms, written as POSCAR:
```
Na2Cu4GeAs3
1.0
4.1055 0.0000 0.0000
0.0000 4.1055 0.0000
0.0000 0.0000 10.4891
Na Cu Ge As
2 4 1 3
Cartesian
0.0000 2.0528 2.5052 Na
2.0528 0.0000 7.9839 Na
0.0000 0.0000 0.0000 Cu
0.0000 2.0528 6.7032 Cu
2.0528 0.0000 3.7859 Cu
2.0528 2.0528 0.0000 Cu
0.0000 0.0000 5.2445 Ge
0.0000 2.0528 9.0930 As
2.0528 0.0000 1.3961 As
2.0528 2.0528 5.2445 As
```

=====

Entry 4:
## CuGeAsO5 (PBE)

Data for a geometry-optimized CuGeAsO5 structure.

## Properties
crystal system	monoclinic
calculated total energy	-93.40	eV for the cell shown

Cell and atoms, written as POSCAR:
```
CuGeAsO5
1.0
3.1132 -4.5278 0.0000
3.1132 4.5278 0.0000
-2.7414 0.0000 6.4334
Cu Ge As O
2 2 2 10
Cartesian
1.0571 2.7583 4.8251 Cu
2.4278 -2.7583 1.6084 Cu
3.1132 0.0000 0.0000 Ge
1.7425 0.0000 3.2167 Ge
2.4278 2.7546 1.6084 As
1.0571 -2.7546 4.8251 As
-1.4042 0.7606 6.0619 O
1.1970 1.7174 2.3483 O
-0.0335 -0.7606 2.8452 O
1.0571 0.6774 4.8251 O
3.6586 1.7174 0.8685 O
-0.1737 -1.7174 5.5650 O
2.4278 -0.6774 1.6084 O
3.5184 0.7606 3.5882 O
2.2879 -1.7174 4.0852 O
4.8891 -0.7606 0.3715 O
```

=====

Entry 5:
## CuGeAs2Os (PBE)

Data for a geometry-optimized CuGeAs2Os structure.

## Properties
crystal system	tetragonal
formation energy	827	meV per atom

Cell and atoms, written as POSCAR:
```
CuGeAs2Os
1.0
4.8074 0.0000 0.0000
0.0000 4.8074 0.0000
0.0000 0.0000 4.8102
Cu Ge As Os
1 1 2 1
Cartesian
0.0000 0.0000 0.0000 Cu
2.4037 2.4037 0.0000 Ge
0.0000 2.4037 2.4051 As
2.4037 0.0000 2.4051 As
2.4037 2.4037 2.4051 Os
```

=====

Entry 6:
## CuGeAs2Pt (PBE)

Data for a geometry-optimized CuGeAs2Pt structure.

## Properties
crystal system	tetragonal
formation energy	912	meV per atom

Cell and atoms, written as POSCAR:
```
CuGeAs2Pt
1.0
4.8852 0.0000 0.0000
0.0000 4.8852 0.0000
0.0000 0.0000 4.3480
Cu Ge As Pt
1 1 2 1
Cartesian
0.0000 0.0000 0.0000 Cu
0.0000 0.0000 2.1740 Ge
0.0000 2.4426 2.1740 As
2.4426 0.0000 2.1740 As
2.4426 2.4426 0.0000 Pt
```

=====

Entry 7:
## RbCuGe2As (PBE)

Data for a geometry-optimized RbCuGe2As structure.

## Properties
crystal system	tetragonal
formation energy	1837	meV per atom

Cell and atoms, written as POSCAR:
```
RbCuGe2As
1.0
5.6334 0.0000 0.0000
0.0000 5.6334 0.0000
0.0000 0.0000 4.9927
Rb Cu Ge As
1 1 2 1
Cartesian
0.0000 0.0000 0.0000 Rb
0.0000 0.0000 2.4964 Cu
0.0000 2.8167 0.0000 Ge
2.8167 0.0000 0.0000 Ge
2.8167 2.8167 2.4964 As
```

=====

Entry 8:
## CuGeAs2Se (PBE)

Data for a geometry-optimized CuGeAs2Se structure.

## Properties
crystal system	tetragonal
polymorph energy (0 for the lowest one)	0	meV/atom

Cell and atoms, written as POSCAR:
```
CuGeAs2Se
1.0
4.6392 0.0000 0.0000
0.0000 4.6392 0.0000
0.0000 0.0000 5.0450
Cu Ge As Se
1 1 2 1
Cartesian
0.0000 0.0000 0.0000 Cu
2.3196 2.3196 2.5225 Ge
0.0000 2.3196 0.0000 As
2.3196 0.0000 0.0000 As
0.0000 0.0000 2.5225 Se
```

=====

Entry 9:
## CuGeAs2Se (PBE)

Data for a geometry-optimized CuGeAs2Se structure.

## Properties
crystal system	tetragonal
polymorph energy (0 for the lowest one)	353	meV/atom

Cell and atoms, written as POSCAR:
```
CuGeAs2Se
1.0
4.9408 0.0000 0.0000
0.0000 4.9408 0.0000
0.0000 0.0000 4.9597
Cu Ge As Se
1 1 2 1
Cartesian
0.0000 0.0000 0.0000 Cu
2.4704 2.4704 2.4799 Ge
0.0000 2.4704 2.4799 As
2.4704 0.0000 2.4799 As
2.4704 2.4704 0.0000 Se
```

=====

Entry 10:
## CuGeAsSe (PBE)

Data for a geometry-optimized CuGeAsSe structure.

## Properties
crystal system	trigonal
calculated total energy	-17.49	eV for the cell shown

Cell and atoms, written as POSCAR:
```
CuGeAsSe
1.0
2.0023 1.1561 6.5060
-2.0023 1.1561 6.5060
0.0000 -2.3121 6.5060
Cu Ge As Se
1 1 1 1
Cartesian
0.0000 0.0000 0.0000 Cu
0.0000 0.0000 9.9532 Ge
0.0000 0.0000 2.3987 As
0.0000 0.0000 12.3714 Se
```

=====

Entry 11:
## CuGeAsSe2 (PBE)

Data for a geometry-optimized CuGeAsSe2 structure.

## Properties
crystal system	tetragonal
polymorph energy (0 for the lowest one)	329	meV/atom

Cell and atoms, written as POSCAR:
```
CuGeAsSe2
1.0
4.9960 0.0000 0.0000
0.0000 4.9960 0.0000
0.0000 0.0000 4.9308
Cu Ge As Se
1 1 1 2
Cartesian
0.0000 0.0000 0.0000 Cu
2.4980 2.4980 2.4654 Ge
2.4980 2.4980 0.0000 As
0.0000 2.4980 2.4654 Se
2.4980 0.0000 2.4654 Se
```

=====

Entry 12:
## CuGeAsSe2 (PBE)

Data for a geometry-optimized CuGeAsSe2 structure.

## Properties
crystal system	tetragonal
polymorph energy (0 for the lowest one)	0	meV/atom

Cell and atoms, written as POSCAR:
```
CuGeAsSe2
1.0
4.9201 0.0000 0.0000
0.0000 4.9201 0.0000
0.0000 0.0000 4.5358
Cu Ge As Se
1 1 1 2
Cartesian
0.0000 0.0000 0.0000 Cu
2.4601 2.4601 2.2679 Ge
0.0000 0.0000 2.2679 As
0.0000 2.4601 0.0000 Se
2.4601 0.0000 0.0000 Se
```